Entry 1:
# La4NdIn2

A relaxed structure of La4NdIn2 (PBE, the Alexandria database).

Values from the calculation:
Symmetry: I4/mmm, No. 139
Formation energy from the elements: 0.0198 eV per atom
DOS at the Fermi energy: 10.57 states/eV/cell
Electronic total energy: -4.259 eV/atom

Unit cell a=6.0968 b=6.0968 c=7.8078 alpha=112.98 beta=112.98 gamma=90.00
Closest atoms and distances in Å follow each position.
Fractional coordinates of all 7 atoms:
In  0.6221  0.6221  0.2443  1 In 3.18, 8 La 3.44-3.47
In  0.3779  0.3779  0.7557  1 In 3.18, 8 La 3.44-3.47
Nd  0.0000  0.0000  0.0000  4 La 3.05
La  0.2500  0.7500  0.5000  2 La 3.25, 4 In 3.47
La  0.5000  0.0000  0.0000  2 Nd 3.05, 2 La 3.25
La  0.0000  0.5000  0.0000  2 Nd 3.05, 2 La 3.25
La  0.7500  0.2500  0.5000  2 La 3.25, 4 In 3.47



Entry 2:
# La6NdIn

A relaxed structure of La6NdIn (PBE, the Alexandria database).

Values from the calculation:
Symmetry: P-1, No. 2
Formation energy from the elements: -0.0445 eV per atom
DOS at the Fermi energy: 12.74 states/eV/cell
Electronic total energy: -4.678 eV/atom

Unit cell a=8.7963 b=6.5781 c=9.7733 alpha=42.04 beta=56.33 gamma=48.04
Closest atoms and distances in Å follow each position.
Fractional coordinates of all 8 atoms:
La  0.0454  0.2444  0.4810  2 La 3.16-3.53, 1 In 3.42
La  0.5197  0.2973  0.2299  2 La 3.18-3.52, 1 In 3.42
La  0.9546  0.7556  0.5190  2 La 3.16-3.53, 1 In 3.42
La  0.2292  0.2065  0.0459  2 La 3.17-3.53, 1 In 3.42
La  0.4803  0.7027  0.7701  2 La 3.18-3.52, 1 In 3.42
La  0.7708  0.7935  0.9541  2 La 3.17-3.53, 1 In 3.42
Nd  0.5000  0.5000  0.5000  12 La 3.63-3.83
In  0.0000  0.0000  0.0000  6 La 3.42



Entry 3:
# La2Nd6In

A relaxed structure of La2Nd6In (PBE, the Alexandria database).

Values from the calculation:
Symmetry: C2/c, No. 15
Formation energy from the elements: -0.0483 eV per atom
DOS at the Fermi energy: 22.87 states/eV/cell
Electronic total energy: -4.626 eV/atom

Unit cell a=11.6708 b=6.4087 c=11.6708 alpha=106.00 beta=47.31 gamma=106.00
Closest atoms and distances in Å follow each position.
Fractional coordinates of all 18 atoms:
Nd  0.0031  0.2181  0.1489  2 In 3.38-3.46, 6 Nd 3.40-3.61, 1 La 3.72
Nd  0.5850  0.5844  0.0837  1 In 3.38, 5 Nd 3.44-3.60, 4 La 3.56-3.66
Nd  0.9969  0.7819  0.8511  2 In 3.38-3.46, 6 Nd 3.40-3.61, 1 La 3.72
Nd  0.1489  0.7181  0.0031  2 In 3.38-3.46, 6 Nd 3.40-3.61, 1 La 3.72
Nd  0.0837  0.0844  0.5850  1 In 3.38, 5 Nd 3.44-3.60, 4 La 3.56-3.66
Nd  0.4958  0.0634  0.3527  2 In 3.38-3.47, 6 Nd 3.40-3.61, 1 La 3.72
Nd  0.5042  0.9366  0.6473  2 In 3.38-3.47, 6 Nd 3.40-3.61, 1 La 3.72
Nd  0.3527  0.5634  0.4958  2 In 3.38-3.47, 6 Nd 3.40-3.61, 1 La 3.72
Nd  0.4150  0.4156  0.9163  1 In 3.38, 5 Nd 3.44-3.60, 4 La 3.56-3.66
Nd  0.8511  0.2819  0.9969  2 In 3.38-3.46, 6 Nd 3.40-3.61, 1 La 3.72
Nd  0.6473  0.4366  0.5042  2 In 3.38-3.47, 6 Nd 3.40-3.61, 1 La 3.72
Nd  0.9163  0.9156  0.4150  1 In 3.38, 5 Nd 3.44-3.60, 4 La 3.56-3.66
La  0.1699  0.5623  0.3307  3 La 3.27-3.54, 4 Nd 3.56-3.66
La  0.6693  0.9377  0.8301  3 La 3.27-3.54, 4 Nd 3.56-3.66
La  0.8301  0.4377  0.6693  3 La 3.27-3.54, 4 Nd 3.56-3.66
La  0.3307  0.0623  0.1699  3 La 3.27-3.54, 4 Nd 3.56-3.66
In  0.7509  0.7500  0.2491  10 Nd 3.38-3.47
In  0.2491  0.2500  0.7509  10 Nd 3.38-3.47



Entry 4:
# La3Nd5In2

A relaxed structure of La3Nd5In2 (PBE, the Alexandria database).

Values from the calculation:
Symmetry: Ibam, No. 72
Formation energy from the elements: 0.0089 eV per atom
DOS at the Fermi energy: 29.90 states/eV/cell
Electronic total energy: -4.401 eV/atom

Unit cell a=6.7507 b=10.8195 c=10.8195 alpha=92.28 beta=71.82 gamma=71.82
Closest atoms and distances in Å follow each position.
Fractional coordinates of all 20 atoms:
La  0.7500  0.0000  0.0000  4 In 3.35, 2 La 3.38, 2 Nd 3.39
La  0.1269  0.1100  0.6362  4 Nd 3.48-3.77, 4 In 3.66-3.77
La  0.8731  0.8900  0.3638  4 Nd 3.48-3.77, 4 In 3.66-3.77
La  0.6269  0.6362  0.1100  4 Nd 3.48-3.77, 4 In 3.66-3.77
La  0.3731  0.3638  0.8900  4 Nd 3.48-3.77, 4 In 3.66-3.77
La  0.2500  0.0000  0.0000  4 In 3.35, 2 La 3.38, 2 Nd 3.39
Nd  0.6052  0.2325  0.5570  1 In 3.02, 2 Nd 3.35
Nd  0.4971  0.2529  0.2529  2 In 3.25, 5 Nd 3.31-3.59, 1 La 3.39
Nd  0.5029  0.7471  0.7471  2 In 3.25, 5 Nd 3.31-3.59, 1 La 3.39
Nd  0.3948  0.7675  0.4430  1 In 3.02, 2 Nd 3.35
Nd  0.7500  0.5000  0.5000  8 Nd 3.31-3.38
Nd  0.0029  0.7471  0.7471  2 In 3.25, 5 Nd 3.31-3.59, 1 La 3.39
Nd  0.8948  0.4430  0.7675  1 In 3.02, 2 Nd 3.35
Nd  0.9971  0.2529  0.2529  2 In 3.25, 5 Nd 3.31-3.59, 1 La 3.39
Nd  0.2500  0.5000  0.5000  8 Nd 3.31-3.38
Nd  0.1052  0.5570  0.2325  1 In 3.02, 2 Nd 3.35
In  0.6340  0.0117  0.7203  3 Nd 3.02-3.25, 2 La 3.35
In  0.3660  0.9883  0.2797  3 Nd 3.02-3.25, 2 La 3.35
In  0.8660  0.2797  0.9883  3 Nd 3.02-3.25, 2 La 3.35
In  0.1340  0.7203  0.0117  3 Nd 3.02-3.25, 2 La 3.35



Entry 5:
# La3Nd7In2

A relaxed structure of La3Nd7In2 (PBE, the Alexandria database).

Values from the calculation:
Symmetry: P2/m, No. 10
Formation energy from the elements: -0.0641 eV per atom
DOS at the Fermi energy: 16.87 states/eV/cell
Electronic total energy: -4.534 eV/atom

Unit cell a=3.6905 b=5.8758 c=19.4866 alpha=103.95 beta=90.00 gamma=90.00
Closest atoms and distances in Å follow each position.
Fractional coordinates of all 12 atoms:
In  0.5000  0.5870  0.2962  3 Nd 3.20-3.27
In  0.5000  0.4130  0.7038  3 Nd 3.20-3.27
Nd  0.5000  0.9880  0.1692  8 Nd 3.47-3.79, 2 In 3.78-3.81, 1 La 3.81
Nd  0.0000  0.4776  0.1533  2 In 3.27, 5 Nd 3.47-3.57, 2 La 3.54
Nd  0.5000  0.7237  0.4653  1 In 3.20, 2 Nd 3.20-3.23
Nd  0.5000  0.2763  0.5347  1 In 3.20, 2 Nd 3.20-3.23
Nd  0.0000  0.0000  0.0000  4 La 3.47, 8 Nd 3.57-3.79
Nd  0.5000  0.0120  0.8308  8 Nd 3.47-3.79, 2 In 3.78-3.81, 1 La 3.81
Nd  0.0000  0.5224  0.8467  2 In 3.27, 5 Nd 3.47-3.57, 2 La 3.54
La  0.5000  0.5000  0.0000  10 Nd 3.47-3.81, 2 La 3.69
La  0.0000  0.8644  0.6436  4 In 3.65, 2 La 3.69, 8 Nd 3.84-4.04
La  0.0000  0.1356  0.3564  4 In 3.65, 2 La 3.69, 8 Nd 3.84-4.04



Entry 6:
# La2Nd8In

A relaxed structure of La2Nd8In (PBE, the Alexandria database).

Values from the calculation:
Symmetry: C2/m, No. 12
Formation energy from the elements: -0.0638 eV per atom
DOS at the Fermi energy: 14.72 states/eV/cell
Electronic total energy: -4.676 eV/atom

Unit cell a=5.1226 b=8.1529 c=9.6543 alpha=104.60 beta=105.38 gamma=90.00
Closest atoms and distances in Å follow each position.
Fractional coordinates of all 11 atoms:
Nd  0.4113  0.5601  0.8225  1 In 3.53, 8 Nd 3.56-3.73, 3 La 3.65-3.69
Nd  0.6766  0.9074  0.3533  1 In 3.56, 8 Nd 3.57-3.76, 3 La 3.66-3.72
Nd  0.9571  0.2705  0.9143  9 Nd 3.56-3.73, 2 In 3.60, 1 La 3.65
Nd  0.1360  0.1756  0.2720  7 Nd 3.57-3.72, 2 In 3.62, 3 La 3.66-3.70
Nd  0.8640  0.8244  0.7280  7 Nd 3.57-3.72, 2 In 3.62, 3 La 3.66-3.70
Nd  0.0429  0.7295  0.0857  9 Nd 3.56-3.73, 2 In 3.60, 1 La 3.65
Nd  0.3234  0.0926  0.6467  1 In 3.56, 8 Nd 3.57-3.76, 3 La 3.66-3.72
Nd  0.5887  0.4399  0.1775  1 In 3.53, 8 Nd 3.56-3.73, 3 La 3.65-3.69
La  0.2239  0.6332  0.4478  10 Nd 3.65-3.72, 2 La 3.65
La  0.7761  0.3668  0.5522  10 Nd 3.65-3.72, 2 La 3.65
In  0.5000  0.0000  0.0000  12 Nd 3.53-3.62



Entry 7:
# La2Nd3In4

A relaxed structure of La2Nd3In4 (PBE, the Alexandria database).

Values from the calculation:
Symmetry: Cmce, No. 64
Formation energy from the elements: -0.3177 eV per atom
DOS at the Fermi energy: 14.23 states/eV/cell
Electronic total energy: -4.219 eV/atom

Unit cell a=7.3421 b=9.5076 c=9.1678 alpha=90.00 beta=113.61 gamma=90.00
Closest atoms and distances in Å follow each position.
Fractional coordinates of all 18 atoms:
In  0.7824  0.2500  0.0647  3 Nd 3.05-3.18
In  0.8143  0.0314  0.6287  5 Nd 3.13-3.30
In  0.2824  0.2500  0.0647  3 Nd 3.05-3.18
In  0.7176  0.7500  0.9353  3 Nd 3.05-3.18
In  0.3143  0.4686  0.6287  5 Nd 3.13-3.30
In  0.2176  0.7500  0.9353  3 Nd 3.05-3.18
In  0.6857  0.5314  0.3713  5 Nd 3.13-3.30
In  0.1857  0.9686  0.3713  5 Nd 3.13-3.30
Nd  0.5282  0.7500  0.5565  5 In 3.18-3.30
Nd  0.0282  0.7500  0.5565  5 In 3.18-3.30
Nd  0.0000  0.0000  0.0000  6 In 3.05-3.13
Nd  0.9718  0.2500  0.4435  5 In 3.18-3.30
Nd  0.5000  0.5000  0.0000  6 In 3.05-3.13
Nd  0.4718  0.2500  0.4435  5 In 3.18-3.30
La  0.8918  0.4308  0.7836  5 In 3.45-3.77, 2 Nd 3.81
La  0.1082  0.5692  0.2164  5 In 3.45-3.77, 2 Nd 3.81
La  0.3918  0.0692  0.7836  5 In 3.45-3.77, 2 Nd 3.81
La  0.6082  0.9308  0.2164  5 In 3.45-3.77, 2 Nd 3.81



Entry 8:
# LaNd2In

A relaxed structure of LaNd2In (PBE, the Alexandria database).

Values from the calculation:
Symmetry: R-3m, No. 166
Formation energy from the elements: 0.0116 eV per atom
DOS at the Fermi energy: 6.12 states/eV/cell
Electronic total energy: -4.289 eV/atom

Unit cell a=3.5672 b=3.5672 c=12.3345 alpha=81.69 beta=81.69 gamma=60.00
Closest atoms and distances in Å follow each position.
Fractional coordinates of all 4 atoms:
Nd  0.0952  0.0952  0.7144  3 In 3.32, 1 La 3.47, 6 Nd 3.57
Nd  0.9048  0.9048  0.2856  3 In 3.32, 1 La 3.47, 6 Nd 3.57
La  0.0000  0.0000  0.0000  2 Nd 3.47, 6 La 3.57
In  0.5000  0.5000  0.5000  6 Nd 3.32, 6 In 3.57



Entry 9:
# LaNdIn6

A relaxed structure of LaNdIn6 (PBE, the Alexandria database).

Values from the calculation:
Symmetry: Amm2, No. 38
Formation energy from the elements: -0.4418 eV per atom
DOS at the Fermi energy: 3.64 states/eV/cell
Electronic total energy: -3.708 eV/atom

Unit cell a=5.2295 b=6.8780 c=6.8780 alpha=119.90 beta=90.00 gamma=90.00
Closest atoms and distances in Å follow each position.
Fractional coordinates of all 8 atoms:
Nd  0.0000  0.0837  0.9163  12 In 3.35-3.45
In  0.5000  0.9074  0.0926  6 In 3.21-3.24, 2 Nd 3.35, 2 La 3.45
In  0.0000  0.0616  0.4055  6 In 3.21-3.22, 2 La 3.36, 2 Nd 3.44
In  0.5000  0.4361  0.0935  6 In 3.21-3.24, 2 Nd 3.35, 2 La 3.44
In  0.0000  0.5945  0.9384  6 In 3.21-3.22, 2 La 3.36, 2 Nd 3.44
In  0.0000  0.5937  0.4063  6 In 3.21-3.22, 2 La 3.36, 2 Nd 3.45
In  0.5000  0.9065  0.5639  6 In 3.21-3.24, 2 Nd 3.35, 2 La 3.44
La  0.5000  0.4162  0.5838  12 In 3.36-3.45



Entry 10:
# La8Nd5In

A relaxed structure of La8Nd5In (PBE, the Alexandria database).

Values from the calculation:
Symmetry: C2, No. 5
Formation energy from the elements: 0.0615 eV per atom
DOS at the Fermi energy: 24.38 states/eV/cell
Electronic total energy: -4.653 eV/atom

Unit cell a=9.1095 b=9.0658 c=9.1095 alpha=84.64 beta=124.23 gamma=122.20
Closest atoms and distances in Å follow each position.
Fractional coordinates of all 14 atoms:
La  0.3215  0.2685  0.4041  5 La 3.33-3.64, 4 Nd 3.36-3.60
La  0.6234  0.3766  0.8655  1 In 3.32, 4 La 3.33-3.68, 4 Nd 3.44-3.71
La  0.9784  0.0605  0.5544  1 In 3.39, 2 La 3.55-3.64, 2 Nd 3.61-3.67
La  0.4938  0.9395  0.9179  1 In 3.39, 2 La 3.55-3.64, 2 Nd 3.61-3.67
La  0.8919  0.5368  0.5889  1 In 3.43, 5 La 3.45-3.82, 1 Nd 3.84
La  0.1356  0.7315  0.0530  5 La 3.33-3.64, 4 Nd 3.36-3.60
La  0.0521  0.4632  0.3551  1 In 3.43, 5 La 3.45-3.82, 1 Nd 3.84
La  0.4888  0.6234  0.2468  1 In 3.32, 4 La 3.33-3.68, 4 Nd 3.44-3.71
Nd  0.6899  0.7656  0.7288  3 Nd 3.35-3.55, 1 In 3.46, 4 La 3.48-3.71
Nd  0.9632  0.2344  0.9243  3 Nd 3.35-3.55, 1 In 3.46, 4 La 3.48-3.71
Nd  0.4934  0.0000  0.4934  4 Nd 3.35-3.75, 2 La 3.36
Nd  0.8955  0.7969  0.1998  6 La 3.43-3.84, 2 Nd 3.55-3.75, 1 In 3.61
Nd  0.4029  0.2031  0.0986  6 La 3.43-3.84, 2 Nd 3.55-3.75, 1 In 3.61
In  0.3194  0.5000  0.8194  6 La 3.32-3.43, 4 Nd 3.46-3.61